Record 1
PaCdCuPt | PBE | optimized geometry

a b c (Å): 4.7954 4.7954 4.7954
angles (deg): 60.00 60.00 60.00
Fractional positions:
Cd 0.0000 0.0000 0.0000
Pa 0.5000 0.5000 0.5000
Cu 0.2500 0.2500 0.2500
Pt 0.7500 0.7500 0.7500

Calculated values
calculated volume = 78.0 Å³/f.u.
energy of formation = -0.36 eV/atom
DFT total energy = -5.500 eV per atom
space group = F-43m (216)

=====

Record 2
NbZnTe2N | PBE | optimized geometry

a b c (Å): 5.5855 5.5855 3.9149
angles (deg): 90.00 90.00 90.00
Fractional positions:
Nb 0.0000 0.0000 0.0000
Zn 0.5000 0.5000 0.5000
Te 0.5000 0.0000 0.0000
N 0.0000 0.0000 0.5000
Te 0.0000 0.5000 0.0000

Calculated values
calculated volume = 122.1 Å³/f.u.
DFT total energy = -4.993 eV per atom
raw formation energy = 0.197 eV/atom
space group = P4/mmm (123)
energy relative to the lowest polymorph listed for this composition = 0.0000 eV/atom